Below is crystalline NdTh2Hg6 at its relaxed geometry, with properties calculated at the PBE level.

Space group   P6/mmm, No. 191
Energy   -24.3 eV/f.u.
Energy relative to the elements   -318 meV per atom

Lattice parameters (Å, degrees): 8.8026 8.8026 3.4188 90.00 90.00 120.00
With the nearest neighbours (Å) after each atom.
Sites, in units of the cell vectors:
Nd 0.0000 0.0000 0.0000  12 Hg 3.39, 2 Nd 3.42
Th 0.3333 0.6667 0.0000  12 Hg 3.40, 2 Th 3.42
Th 0.6667 0.3333 0.0000  12 Hg 3.40, 2 Th 3.42
Hg 0.0000 0.3324 0.5000  3 Hg 2.93-2.95
Hg 0.0000 0.6676 0.5000  3 Hg 2.93-2.95
Hg 0.3324 0.0000 0.5000  3 Hg 2.93-2.95
Hg 0.3324 0.3324 0.5000  3 Hg 2.93-2.95
Hg 0.6676 0.0000 0.5000  3 Hg 2.93-2.95
Hg 0.6676 0.6676 0.5000  3 Hg 2.93-2.95


Below is crystalline TcAsW2 at its relaxed geometry, with properties calculated at the PBE level.

Space group   P2/m, No. 10
Energy   -40.0 eV/f.u.
Energy relative to the elements   242 meV per atom

Lattice parameters (Å, degrees): 2.8956 4.1661 5.1480 90.00 90.39 90.00
With the nearest neighbours (Å) after each atom.
Sites, in units of the cell vectors:
Tc 0.0000 0.0000 0.0000  2 As 2.57, 8 W 2.84
As 0.0000 0.0000 0.5000  2 Tc 2.57, 8 W 2.84-2.85
W 0.4990 0.5000 0.7515  2 W 2.56-2.59, 4 Tc 2.84, 4 As 2.84-2.85
W 0.5010 0.5000 0.2485  2 W 2.56-2.59, 4 Tc 2.84, 4 As 2.84-2.85


Below is crystalline Dy8MgHg2 at its relaxed geometry, with properties calculated at the PBE level.

Space group   C2/m, No. 12
Energy   -40.9 eV/f.u.
Energy relative to the elements   -171 meV per atom

Lattice parameters (Å, degrees): 8.5079 8.5079 8.4821 119.26 119.26 36.73
With the nearest neighbours (Å) after each atom.
Sites, in units of the cell vectors:
Dy 0.0666 0.0666 0.2240  1 Hg 3.11, 3 Dy 3.26
Dy 0.1405 0.1405 0.6926  3 Hg 3.19-3.27, 2 Mg 3.34, 1 Dy 3.51
Dy 0.3180 0.3180 0.5513  1 Hg 3.11, 1 Mg 3.19, 4 Dy 3.26-3.29
Dy 0.4054 0.4054 0.0432  3 Hg 3.27-3.29, 1 Mg 3.35, 4 Dy 3.49-3.65
Dy 0.5946 0.5946 0.9568  3 Hg 3.27-3.29, 1 Mg 3.35, 4 Dy 3.49-3.65
Dy 0.6820 0.6820 0.4487  1 Hg 3.11, 1 Mg 3.19, 4 Dy 3.26-3.29
Dy 0.8595 0.8595 0.3074  3 Hg 3.19-3.27, 2 Mg 3.34, 1 Dy 3.51
Dy 0.9334 0.9334 0.7760  1 Hg 3.11, 3 Dy 3.26
Mg 0.5000 0.5000 0.5000  8 Dy 3.19-3.35
Hg 0.2278 0.2278 0.1269  8 Dy 3.11-3.29
Hg 0.7722 0.7722 0.8731  8 Dy 3.11-3.29


Below is crystalline Mg2CdRe at its relaxed geometry, with properties calculated at the PBE level.

Space group   F-43m, No. 216
Energy   -14.5 eV/f.u.
Energy relative to the elements   515 meV per atom

Lattice parameters (Å, degrees): 6.6301 6.6301 6.6301 90.00 90.00 90.00
With the nearest neighbours (Å) after each atom.
Sites, in units of the cell vectors:
Mg 0.0000 0.0000 0.0000  4 Cd 2.87, 4 Mg 2.87
Mg 0.0000 0.5000 0.5000  4 Mg 2.87, 4 Cd 2.87
Mg 0.2500 0.2500 0.2500  4 Re 2.87, 4 Mg 2.87
Mg 0.2500 0.7500 0.7500  4 Re 2.87, 4 Mg 2.87
Mg 0.5000 0.0000 0.5000  4 Mg 2.87, 4 Cd 2.87
Mg 0.5000 0.5000 0.0000  4 Mg 2.87, 4 Cd 2.87
Mg 0.7500 0.2500 0.7500  4 Re 2.87, 4 Mg 2.87
Mg 0.7500 0.7500 0.2500  4 Re 2.87, 4 Mg 2.87
Cd 0.2500 0.2500 0.7500  4 Re 2.87, 4 Mg 2.87
Cd 0.2500 0.7500 0.2500  4 Re 2.87, 4 Mg 2.87
Cd 0.7500 0.2500 0.2500  4 Re 2.87, 4 Mg 2.87
Cd 0.7500 0.7500 0.7500  4 Re 2.87, 4 Mg 2.87
Re 0.0000 0.0000 0.5000  4 Cd 2.87, 4 Mg 2.87
Re 0.0000 0.5000 0.0000  4 Cd 2.87, 4 Mg 2.87
Re 0.5000 0.0000 0.0000  4 Cd 2.87, 4 Mg 2.87
Re 0.5000 0.5000 0.5000  4 Cd 2.87, 4 Mg 2.87


Below is crystalline Nd2Ni at its relaxed geometry, with properties calculated at the PBE level.

Space group   C2/m, No. 12
Energy   -15.9 eV/f.u.
Energy relative to the elements   -210 meV per atom

Lattice parameters (Å, degrees): 12.5970 3.8100 8.2977 90.00 126.70 90.00
With the nearest neighbours (Å) after each atom.
Sites, in units of the cell vectors:
Nd 0.0876 0.0000 0.3874  4 Ni 2.89-3.04
Nd 0.1690 0.5000 0.0755  3 Ni 2.87-2.99
Nd 0.3310 0.0000 0.9245  3 Ni 2.87-2.99
Nd 0.4124 0.5000 0.6126  4 Ni 2.89-3.04
Nd 0.5876 0.5000 0.3874  4 Ni 2.89-3.04
Nd 0.6690 0.0000 0.0755  3 Ni 2.87-2.99
Nd 0.8310 0.5000 0.9245  3 Ni 2.87-2.99
Nd 0.9124 0.0000 0.6126  4 Ni 2.89-3.04
Ni 0.1238 0.5000 0.6788  1 Ni 2.73, 7 Nd 2.87-3.04
Ni 0.3762 0.0000 0.3212  1 Ni 2.73, 7 Nd 2.87-3.04
Ni 0.6238 0.0000 0.6788  1 Ni 2.73, 7 Nd 2.87-3.04
Ni 0.8762 0.5000 0.3212  1 Ni 2.73, 7 Nd 2.87-3.04


Below is crystalline BaLiIr2 at its relaxed geometry, with properties calculated at the PBE level.

Energy relative to the lowest polymorph listed for this composition   0.812 eV/atom
Space group   Cmmm, No. 65
Energy   -19.0 eV/f.u.
Energy relative to the elements   632 meV per atom

Lattice parameters (Å, degrees): 3.2375 4.9827 9.2715 90.00 90.00 90.00
With the nearest neighbours (Å) after each atom.
Sites, in units of the cell vectors:
Ba 0.0000 0.0000 0.0000  6 Ba 2.97-3.24, 4 Ir 3.06
Ba 0.5000 0.5000 0.0000  6 Ba 2.97-3.24, 4 Ir 3.06
Li 0.0000 0.0000 0.5000  4 Ir 2.60
Li 0.5000 0.5000 0.5000  4 Ir 2.60
Ir 0.0000 0.5000 0.2807  2 Li 2.60
Ir 0.0000 0.5000 0.7193  2 Li 2.60
Ir 0.5000 0.0000 0.2807  2 Li 2.60
Ir 0.5000 0.0000 0.7193  2 Li 2.60


Spin magnetization per entry: 0.001; 0.000; 0.000; 2.443; 0.000; 0.001 μB per cell